(1)
The following is a DFT calculation (PBEsol) of MnO after structural relaxation.

Cell: 2.9431 2.9431 2.7322 Å, 90.00 90.00 120.00°
Last column: nearest neighbours and their distance in Å.
Positions (direct):
Mn: 0.0000 0.0000 0.0000  6 O 2.18
O: 0.6667 0.3333 0.5000  6 Mn 2.18

Results
formation energy without anion corrections	-931	meV per atom
VASP energy	-8.436	eV/atom

***

(2)
The following is a DFT calculation (PBEsol) of TaPBr2 after structural relaxation.

Cell: 9.9411 9.9411 9.9411 Å, 18.22 18.22 18.22°
Last column: nearest neighbours and their distance in Å.
Positions (direct):
Ta: 0.0000 0.0000 0.0000  6 Br 2.64
P: 0.5000 0.5000 0.5000  6 P 3.15, 6 Br 3.49
Br: 0.2681 0.2681 0.2681  3 Ta 2.64
Br: 0.7319 0.7319 0.7319  3 Ta 2.64

Results
formation energy without anion corrections	198	meV per atom
VASP energy	-5.323	eV/atom
excess energy over the best structure of this formula in the dataset	460	meV per atom